Entry 1:
## Ba2Na3SnBi4 (PBE-GGA)

Data for Ba2Na3SnBi4 after structural relaxation.

Cell and atoms, written as POSCAR:
```
Ba2Na3SnBi4
1.0
5.382 0.000 0.000
0.000 5.382 0.000
0.000 0.000 12.213
Ba Na Sn Bi
2 3 1 4
Direct
0.000 0.500 0.237 Ba
0.500 0.000 0.763 Ba
0.000 0.500 0.873 Na
0.500 0.000 0.127 Na
0.500 0.500 0.500 Na
0.000 0.000 0.500 Sn
0.000 0.000 0.000 Bi
0.000 0.500 0.627 Bi
0.500 0.000 0.373 Bi
0.500 0.500 0.000 Bi
```

Values from the calculation:
The energy is -3.200 eV per atom. The value obtained for the formation energy from the elements is -0.47 eV/atom. The total magnetic moment is 0.00 μB/atom. The theoretical density is 6.1 g/cm³. The calculated volume comes out at 35.38 Å³/atom.


Entry 2:
## Rb2ErCdF6 (PBE-GGA)

Data for Rb2ErCdF6 after structural relaxation.

Cell and atoms, written as POSCAR:
```
Rb2ErCdF6
1.0
6.590 0.000 0.000
0.000 9.329 0.000
0.000 0.000 6.677
Rb Er Cd F
4 2 2 12
Direct
0.250 0.004 0.236 Rb
0.250 0.496 0.236 Rb
0.750 0.504 0.764 Rb
0.750 0.996 0.764 Rb
0.250 0.750 0.762 Er
0.750 0.250 0.238 Er
0.250 0.250 0.739 Cd
0.750 0.750 0.261 Cd
0.017 0.750 0.991 F
0.018 0.750 0.536 F
0.250 0.519 0.781 F
0.250 0.981 0.781 F
0.482 0.750 0.536 F
0.483 0.750 0.991 F
0.517 0.250 0.009 F
0.518 0.250 0.464 F
0.750 0.019 0.219 F
0.750 0.481 0.219 F
0.982 0.250 0.464 F
0.983 0.250 0.009 F
```

Values from the calculation:
The energy is -4.835 eV per atom. For the uncorrected formation energy, the calculation gives -2.97 eV/atom. The total magnetic moment is 0.08 μB/atom. The theoretical density is 4.6 g/cm³. The calculated volume comes out at 20.52 Å³/atom.


Entry 3:
## Cs3Cr2SnBr9 (PBE-GGA)

Data for Cs3Cr2SnBr9 after structural relaxation.

Cell and atoms, written as POSCAR:
```
Cs3Cr2SnBr9
1.0
7.807 0.000 0.000
-3.904 6.761 0.000
0.000 0.000 9.602
Cs Cr Sn Br
3 2 1 9
Direct
0.000 0.000 0.000 Cs
0.333 0.667 0.670 Cs
0.667 0.333 0.330 Cs
0.333 0.667 0.154 Cr
0.667 0.333 0.846 Cr
0.000 0.000 0.500 Sn
0.000 0.500 0.000 Br
0.175 0.351 0.319 Br
0.175 0.825 0.319 Br
0.351 0.175 0.681 Br
0.500 0.000 0.000 Br
0.500 0.500 0.000 Br
0.649 0.825 0.319 Br
0.825 0.175 0.681 Br
0.825 0.649 0.681 Br
```

Values from the calculation:
The energy is -3.870 eV per atom. For the uncorrected formation energy, the calculation gives -1.15 eV/atom. The total magnetic moment is 0.53 μB/atom. The theoretical density is 4.4 g/cm³. The calculated volume comes out at 33.79 Å³/atom.


Entry 4:
## PaZnCoPt (PBE-GGA)

Data for PaZnCoPt after structural relaxation.

Cell and atoms, written as POSCAR:
```
PaZnCoPt
1.0
0.000 3.269 3.269
3.269 0.000 3.269
3.269 3.269 0.000
Pa Zn Co Pt
1 1 1 1
Direct
0.000 0.000 0.000 Pa
0.500 0.500 0.500 Zn
0.750 0.750 0.750 Co
0.250 0.250 0.250 Pt
```

Values from the calculation:
The energy is -6.400 eV per atom. The value obtained for the formation energy from the elements is -0.42 eV/atom. The total magnetic moment is 0.00 μB/atom. The theoretical density is 13.1 g/cm³. The calculated volume comes out at 17.46 Å³/atom.


Entry 5:
## MgZrZn11 (PBE-GGA)

Data for MgZrZn11 after structural relaxation.

Cell and atoms, written as POSCAR:
```
MgZrZn11
1.0
2.680 -6.127 0.000
2.680 6.127 0.000
-2.662 0.000 6.222
Mg Zr Zn
1 1 11
Direct
0.000 0.000 0.000 Mg
0.000 0.000 0.500 Zr
0.000 0.500 0.500 Zn
0.005 0.361 0.847 Zn
0.298 0.509 0.293 Zn
0.361 0.005 0.847 Zn
0.491 0.702 0.707 Zn
0.500 0.000 0.500 Zn
0.500 0.500 0.000 Zn
0.509 0.298 0.293 Zn
0.639 0.995 0.153 Zn
0.702 0.491 0.707 Zn
0.995 0.639 0.153 Zn
```

Values from the calculation:
The energy is -1.948 eV per atom. The value obtained for the formation energy from the elements is -0.09 eV/atom. The total magnetic moment is 0.00 μB/atom. The theoretical density is 6.8 g/cm³. The calculated volume comes out at 15.72 Å³/atom.


Entry 6:
## La2NdMn (PBE-GGA)

Data for La2NdMn after structural relaxation.

Cell and atoms, written as POSCAR:
```
La2NdMn
1.0
3.688 0.000 0.000
0.000 3.688 0.000
0.000 0.000 9.089
La Nd Mn
2 1 1
Direct
0.000 0.000 0.207 La
0.000 0.000 0.793 La
0.500 0.500 0.500 Nd
0.500 0.500 0.000 Mn
```

Values from the calculation:
The energy is -5.776 eV per atom. The value obtained for the formation energy from the elements is 0.17 eV/atom. The total magnetic moment is 0.87 μB/atom. The theoretical density is 6.4 g/cm³. The calculated volume comes out at 30.91 Å³/atom.


Entry 7:
## Li3Pu2AgSe6 (PBE-GGA)

Data for Li3Pu2AgSe6 after structural relaxation.

Cell and atoms, written as POSCAR:
```
Li3Pu2AgSe6
1.0
3.486 -6.022 0.000
3.486 6.022 0.000
-2.328 0.000 6.454
Li Pu Ag Se
3 2 1 6
Direct
0.000 0.000 0.000 Li
0.338 0.662 0.000 Li
0.662 0.338 0.000 Li
0.167 0.833 0.500 Pu
0.833 0.167 0.500 Pu
0.500 0.500 0.500 Ag
0.073 0.415 0.246 Se
0.243 0.243 0.757 Se
0.415 0.073 0.246 Se
0.585 0.927 0.754 Se
0.757 0.757 0.243 Se
0.927 0.585 0.754 Se
```

Values from the calculation:
The energy is -5.956 eV per atom. For the uncorrected formation energy, the calculation gives -1.11 eV/atom. The total magnetic moment is 0.67 μB/atom. The theoretical density is 6.7 g/cm³. The calculated volume comes out at 22.58 Å³/atom.


Entry 8:
## Dy2OsAu (PBE-GGA)

Data for Dy2OsAu after structural relaxation.

Cell and atoms, written as POSCAR:
```
Dy2OsAu
1.0
3.419 0.000 0.000
0.000 3.419 0.000
0.000 0.000 7.381
Dy Os Au
2 1 1
Direct
0.000 0.000 0.228 Dy
0.000 0.000 0.772 Dy
0.500 0.500 0.000 Os
0.500 0.500 0.500 Au
```

Values from the calculation:
The energy is -6.479 eV per atom. The value obtained for the formation energy from the elements is -0.55 eV/atom. The total magnetic moment is 0.00 μB/atom. The theoretical density is 13.7 g/cm³. The calculated volume comes out at 21.57 Å³/atom.